Ba2Y2Co4O9 (PBE+U, optimized geometry); total magnetization = 12.00 μB per formula unit
1.0
-1.331 -3.456 0.443
6.916 -2.137 4.107
0.145 1.064 8.738
Co Ba O Y
4 2 9 2
direct
0.000 0.897 0.261 Co
0.000 0.374 0.241 Co
0.000 0.608 0.790 Co
0.000 0.133 0.746 Co
0.500 0.512 0.497 Ba
0.500 0.989 0.528 Ba
0.000 0.346 0.800 O
0.000 0.845 0.803 O
0.000 0.741 0.514 O
0.500 0.904 0.183 O
0.000 0.250 0.487 O
0.500 0.541 0.911 O
0.000 0.619 0.180 O
0.000 0.180 0.184 O
0.500 0.082 0.827 O
0.500 0.770 0.995 Y
0.500 0.238 0.987 Y

***

BaYCo2O5 (PBE+U, optimized geometry); total magnetization = 5.98 μB per formula unit
1.0
-3.613 1.322 0.666
-0.914 -0.608 -3.747
-2.303 -7.165 1.724
Co O Ba Y
2 5 1 1
direct
0.500 0.500 0.738 Co
0.500 0.500 0.262 Co
0.500 0.000 0.685 O
0.500 0.000 0.315 O
0.000 0.500 0.685 O
0.000 0.500 0.315 O
0.500 0.500 0.000 O
0.000 0.000 0.000 Ba
0.000 0.000 0.500 Y

***

BaYCo4O7 (PBE+U, optimized geometry); total magnetization = 13.03 μB per formula unit
1.0
6.399 0.000 0.000
-3.199 5.542 0.000
0.000 0.000 10.424
O Co Ba Y
14 8 2 2
direct
0.666 0.833 0.506 O
0.491 0.982 0.763 O
0.509 0.018 0.263 O
0.167 0.833 0.506 O
0.491 0.509 0.763 O
0.018 0.509 0.763 O
0.833 0.666 0.006 O
0.167 0.334 0.506 O
0.000 0.000 0.746 O
0.833 0.167 0.006 O
0.000 0.000 0.246 O
0.334 0.167 0.006 O
0.982 0.491 0.263 O
0.509 0.491 0.263 O
0.831 0.169 0.190 Co
0.831 0.661 0.190 Co
0.000 0.000 0.445 Co
0.169 0.831 0.690 Co
0.169 0.339 0.690 Co
0.000 0.000 0.945 Co
0.661 0.831 0.690 Co
0.339 0.169 0.190 Co
0.667 0.333 0.483 Ba
0.333 0.667 0.983 Ba
0.667 0.333 0.880 Y
0.333 0.667 0.380 Y

***

no.,uncorrected energy (eV/f.u.)
1,-117.40
2,-61.72
3,-86.27